Computed, not measured: LiAl2Rh after structural relaxation at the GGA-PBEsol level of DFT.

**Spin magnetization**: 0.000 μB per formula unit
**N(E_F)**: 0.305 states/eV per atom
**E_tot**: -5.272 eV/atom
**ΔH_f (0 K)**: -0.7002 eV/atom

Structure (POSCAR):
```
LiAl2Rh
1.0
0.000 2.991 2.991
2.991 0.000 2.991
2.991 2.991 0.000
Li Al Rh
1 2 1
direct
0.000 0.000 0.000
0.250 0.250 0.250
0.750 0.750 0.750
0.500 0.500 0.500
```